(1)
Below is an optimized crystal structure of SiAg2S3, with properties calculated at the PBE-GGA level.

Cell: 6.616 6.616 6.909 Å, 90.00 90.00 120.00°
Fractional positions:
Si 0.333 0.667 0.000
Si 0.667 0.333 0.000
Ag 0.000 0.000 0.994
Ag 0.000 0.339 0.503
Ag 0.339 0.000 0.503
Ag 0.661 0.661 0.503
S 0.000 0.000 0.640
S 0.000 0.390 0.141
S 0.333 0.667 0.708
S 0.390 0.000 0.141
S 0.610 0.610 0.141
S 0.667 0.333 0.708

Output
* E_tot: -4.117 eV/atom

=====

(2)
Below is an optimized crystal structure of PmHg, with properties calculated at the PBE-GGA level.

Cell: 4.838 4.838 4.838 Å, 60.00 60.00 60.00°
Fractional positions:
Pm 0.000 0.000 0.000
Hg 0.250 0.250 0.250

Output
* E_tot: -2.214 eV/atom
* energy of formation: 0.61 eV per formula unit

=====

(3)
Below is an optimized crystal structure of GdDyPt2, with properties calculated at the PBE-GGA level.

Cell: 5.587 4.520 7.067 Å, 90.00 90.35 90.00°
Fractional positions:
Gd 0.140 0.250 0.183
Gd 0.860 0.750 0.817
Dy 0.360 0.250 0.682
Dy 0.640 0.750 0.318
Pt 0.156 0.750 0.456
Pt 0.347 0.750 0.954
Pt 0.653 0.250 0.046
Pt 0.844 0.250 0.544

Output
* E_tot: -6.612 eV/atom
* energy of formation: -5.08 eV per formula unit

=====

(4)
Below is an optimized crystal structure of Tm5GaTe4, with properties calculated at the PBE-GGA level.

Cell: 7.429 7.429 7.429 Å, 99.48 99.48 132.11°
Fractional positions:
Tm 0.000 0.000 0.000
Tm 0.226 0.404 0.629
Tm 0.404 0.774 0.178
Tm 0.596 0.226 0.822
Tm 0.774 0.596 0.371
Ga 0.500 0.500 0.000
Te 0.091 0.694 0.784
Te 0.306 0.091 0.397
Te 0.694 0.909 0.603
Te 0.909 0.306 0.216

Output
* E_tot: -4.926 eV/atom

=====

(5)
Below is an optimized crystal structure of TbSnPO, with properties calculated at the PBE-GGA level.

Cell: 5.450 5.450 5.246 Å, 90.00 90.00 90.00°
Fractional positions:
Tb 0.250 0.750 0.000
Tb 0.750 0.250 0.000
Sn 0.250 0.250 0.497
Sn 0.750 0.750 0.503
P 0.250 0.250 0.994
P 0.750 0.750 0.006
O 0.250 0.750 0.500
O 0.750 0.250 0.500

Output
* excess energy over the best structure of this formula in the dataset: 0.298 eV per atom
* E_tot: -5.893 eV/atom

=====

(6)
Below is an optimized crystal structure of ReN2, with properties calculated at the PBE-GGA level.

Cell: 4.781 4.781 2.811 Å, 90.00 90.00 106.76°
Fractional positions:
Re 0.000 0.500 0.000
Re 0.500 0.000 0.000
N 0.187 0.813 0.500
N 0.386 0.386 0.000
N 0.614 0.614 0.000
N 0.813 0.187 0.500

Output
* E_tot: -9.375 eV/atom

=====

(7)
Below is an optimized crystal structure of TmLuFeGe2, with properties calculated at the PBE-GGA level.

Cell: 5.585 5.585 10.004 Å, 115.81 115.81 43.73°
Fractional positions:
Tm 0.003 0.003 0.330
Tm 0.997 0.997 0.670
Lu 0.187 0.187 0.112
Lu 0.813 0.813 0.888
Fe 0.276 0.276 0.640
Fe 0.724 0.724 0.360
Ge 0.348 0.348 0.435
Ge 0.487 0.487 0.124
Ge 0.513 0.513 0.876
Ge 0.652 0.652 0.565

Output
* E_tot: -5.976 eV/atom

=====

(8)
Below is an optimized crystal structure of CsHfAlS3, with properties calculated at the PBE-GGA level.

Cell: 8.173 8.173 9.993 Å, 90.00 90.00 153.94°
Fractional positions:
Cs 0.234 0.766 0.750
Cs 0.766 0.234 0.250
Hf 0.500 0.500 0.000
Hf 0.500 0.500 0.500
Al 0.041 0.959 0.250
Al 0.959 0.041 0.750
S 0.115 0.885 0.059
S 0.115 0.885 0.441
S 0.453 0.547 0.250
S 0.547 0.453 0.750
S 0.885 0.115 0.559
S 0.885 0.115 0.941

Output
* E_tot: -5.591 eV/atom

=====

(9)
Below is an optimized crystal structure of K2AgSbCl6, with properties calculated at the PBE-GGA level.

Cell: 7.465 7.465 7.465 Å, 121.49 121.49 87.44°
Fractional positions:
K 0.250 0.750 0.500
K 0.750 0.250 0.500
Ag 0.000 0.000 0.000
Sb 0.500 0.500 0.000
Cl 0.181 0.676 0.857
Cl 0.253 0.253 0.000
Cl 0.324 0.181 0.504
Cl 0.676 0.819 0.496
Cl 0.747 0.747 0.000
Cl 0.819 0.324 0.143

Output
* excess energy over the best structure of this formula in the dataset: 0.012 eV per atom
* E_tot: -3.261 eV/atom

=====

(10)
Below is an optimized crystal structure of Co2BiIr, with properties calculated at the PBE-GGA level.

Cell: 4.397 4.397 4.397 Å, 60.00 60.00 60.00°
Fractional positions:
Co 0.000 0.000 0.000
Co 0.250 0.250 0.250
Bi 0.500 0.500 0.500
Ir 0.750 0.750 0.750

Output
* E_tot: -6.260 eV/atom

=====

(11)
Below is an optimized crystal structure of Sn3Mo, with properties calculated at the PBE-GGA level.

Cell: 5.454 5.454 5.454 Å, 130.96 130.96 71.88°
Fractional positions:
Sn 0.000 0.000 0.000
Sn 0.250 0.750 0.500
Sn 0.750 0.250 0.500
Mo 0.500 0.500 0.000

Output
* E_tot: -5.183 eV/atom

=====

(12)
Below is an optimized crystal structure of BaHgSeO, with properties calculated at the PBE-GGA level.

Cell: 7.739 7.591 7.119 Å, 90.00 90.00 90.00°
Fractional positions:
Ba 0.078 0.164 0.000
Ba 0.422 0.164 0.500
Ba 0.578 0.836 0.000
Ba 0.922 0.836 0.500
Hg 0.023 0.683 0.025
Hg 0.477 0.683 0.525
Hg 0.523 0.317 0.025
Hg 0.977 0.317 0.525
Se 0.184 0.559 0.744
Se 0.316 0.559 0.244
Se 0.684 0.441 0.744
Se 0.816 0.441 0.244
O 0.112 0.090 0.638
O 0.388 0.090 0.138
O 0.612 0.910 0.638
O 0.888 0.910 0.138

Output
* E_tot: -3.992 eV/atom

=====

(13)
Below is an optimized crystal structure of Zr6Ni16Ge7, with properties calculated at the PBE-GGA level.

Cell: 8.247 8.247 8.247 Å, 60.00 60.00 60.00°
Fractional positions:
Zr 0.207 0.207 0.793
Zr 0.207 0.793 0.207
Zr 0.207 0.793 0.793
Zr 0.793 0.207 0.207
Zr 0.793 0.207 0.793
Zr 0.793 0.793 0.207
Ni 0.145 0.618 0.618
Ni 0.169 0.169 0.169
Ni 0.169 0.169 0.493
Ni 0.169 0.493 0.169
Ni 0.382 0.382 0.382
Ni 0.382 0.382 0.855
Ni 0.382 0.855 0.382
Ni 0.493 0.169 0.169
Ni 0.507 0.831 0.831
Ni 0.618 0.145 0.618
Ni 0.618 0.618 0.145
Ni 0.618 0.618 0.618
Ni 0.831 0.507 0.831
Ni 0.831 0.831 0.507
Ni 0.831 0.831 0.831
Ni 0.855 0.382 0.382
Ge 0.000 0.000 0.500
Ge 0.000 0.500 0.000
Ge 0.000 0.500 0.500
Ge 0.500 0.000 0.000
Ge 0.500 0.000 0.500
Ge 0.500 0.500 0.000
Ge 0.500 0.500 0.500

Output
* E_tot: -6.558 eV/atom

=====

(14)
Below is an optimized crystal structure of HoErTe2F2, with properties calculated at the PBE-GGA level.

Cell: 3.989 3.989 7.359 Å, 90.00 90.00 90.00°
Fractional positions:
Ho 0.000 0.000 0.000
Er 0.500 0.500 0.604
Te 0.000 0.000 0.442
Te 0.500 0.500 0.164
F 0.000 0.500 0.802
F 0.500 0.000 0.802

Output
* E_tot: -5.686 eV/atom

=====

(15)
Below is an optimized crystal structure of DyAg3Pt4O12, with properties calculated at the PBE-GGA level.

Cell: 6.708 6.708 6.708 Å, 109.47 109.47 109.47°
Fractional positions:
Dy 0.000 0.000 0.000
Ag 0.000 0.500 0.500
Ag 0.500 0.000 0.500
Ag 0.500 0.500 0.000
Pt 0.000 0.000 0.500
Pt 0.000 0.500 0.000
Pt 0.500 0.000 0.000
Pt 0.500 0.500 0.500
O 0.109 0.279 0.830
O 0.170 0.449 0.279
O 0.170 0.891 0.721
O 0.279 0.170 0.449
O 0.279 0.830 0.109
O 0.449 0.279 0.170
O 0.551 0.721 0.830
O 0.721 0.170 0.891
O 0.721 0.830 0.551
O 0.830 0.109 0.279
O 0.830 0.551 0.721
O 0.891 0.721 0.170

Output
* E_tot: -5.498 eV/atom

=====

(16)
Below is an optimized crystal structure of BaBi2IrAu, with properties calculated at the PBE-GGA level.

Cell: 5.024 4.951 11.106 Å, 90.00 91.85 90.00°
Fractional positions:
Ba 0.229 0.250 0.248
Ba 0.771 0.750 0.752
Bi 0.251 0.750 0.499
Bi 0.300 0.250 0.858
Bi 0.700 0.750 0.142
Bi 0.749 0.250 0.501
Ir 0.257 0.250 0.614
Ir 0.743 0.750 0.386
Au 0.192 0.750 0.001
Au 0.808 0.250 0.999

Output
* E_tot: -4.825 eV/atom

=====

(17)
Below is an optimized crystal structure of SrReAsO, with properties calculated at the PBE-GGA level.

Cell: 3.940 4.548 7.836 Å, 90.00 90.00 90.00°
Fractional positions:
Sr 0.000 0.246 0.000
Sr 0.000 0.754 0.500
Re 0.500 0.256 0.333
Re 0.500 0.744 0.833
As 0.500 0.250 0.667
As 0.500 0.750 0.167
O 0.000 0.252 0.333
O 0.000 0.748 0.833

Output
* excess energy over the best structure of this formula in the dataset: 0.015 eV per atom
* E_tot: -6.881 eV/atom

=====

(18)
Below is an optimized crystal structure of UGeW, with properties calculated at the PBE-GGA level.

Cell: 4.561 4.561 4.561 Å, 60.00 60.00 60.00°
Fractional positions:
U 0.000 0.000 0.000
Ge 0.750 0.750 0.750
W 0.250 0.250 0.250

Output
* E_tot: -8.464 eV/atom

=====

(19)
Below is an optimized crystal structure of LaYCuSi3, with properties calculated at the PBE-GGA level.

Cell: 8.204 8.116 5.855 Å, 69.78 68.18 42.04°
Fractional positions:
La 0.250 0.250 0.250
La 0.750 0.750 0.750
Y 0.243 0.757 0.243
Y 0.757 0.243 0.757
Cu 0.335 0.335 0.665
Cu 0.665 0.665 0.335
Si 0.167 0.167 0.833
Si 0.172 0.662 0.828
Si 0.338 0.828 0.662
Si 0.662 0.172 0.338
Si 0.828 0.338 0.172
Si 0.833 0.833 0.167

Output
* excess energy over the best structure of this formula in the dataset: 0.014 eV per atom
* E_tot: -5.960 eV/atom

=====

(20)
Below is an optimized crystal structure of DyHo2Tl2Cd4, with properties calculated at the PBE-GGA level.

Cell: 4.544 7.553 7.553 Å, 120.08 90.00 90.00°
Fractional positions:
Dy 0.000 0.000 0.000
Ho 0.000 0.146 0.573
Ho 0.000 0.573 0.146
Tl 0.500 0.240 0.906
Tl 0.500 0.906 0.240
Cd 0.000 0.572 0.572
Cd 0.500 0.332 0.332
Cd 0.500 0.573 0.813
Cd 0.500 0.813 0.573

Output
* E_tot: -2.772 eV/atom

=====

(21)
Below is an optimized crystal structure of CdPd5, with properties calculated at the PBE-GGA level.

Cell: 4.905 4.905 4.912 Å, 99.78 99.78 119.91°
Fractional positions:
Cd 0.000 0.000 0.000
Pd 0.170 0.830 0.500
Pd 0.334 0.666 0.000
Pd 0.500 0.500 0.500
Pd 0.666 0.334 0.000
Pd 0.830 0.170 0.500

Output
* E_tot: -4.653 eV/atom
* energy of formation: -1.15 eV per formula unit

=====

(22)
Below is an optimized crystal structure of Tb2PrCd3AgAu2, with properties calculated at the PBE-GGA level.

Cell: 3.897 7.938 7.938 Å, 120.35 90.00 90.00°
Fractional positions:
Tb 0.000 0.204 0.796
Tb 0.000 0.796 0.204
Pr 0.000 0.611 0.611
Cd 0.500 0.201 0.464
Cd 0.500 0.464 0.201
Cd 0.500 0.946 0.946
Ag 0.000 0.202 0.202
Au 0.500 0.536 0.876
Au 0.500 0.876 0.536

Output
* E_tot: -3.472 eV/atom
* energy of formation: -5.17 eV per formula unit